The following is a GGA-PBE calculation of a relaxed Cs2NaCr crystal, from the Alexandria database.

Lattice parameters (Å, degrees): 8.5462 8.5462 8.5462 90.00 90.00 90.00
Closest atoms and distances in Å follow each position.
Space group Fm-3m (No. 225)
Unique sites:
Cs1 0.2500 0.2500 0.2500 x8  4 Cr 3.70, 4 Na 3.70
Na1 0.0000 0.0000 0.0000 x4  8 Cs 3.70
Cr1 0.0000 0.0000 0.5000 x4  8 Cs 3.70

Summary:
The formation enthalpy at 0 K is 0.8191 eV/atom. The density of states at the Fermi level comes out at 0.13 states/eV/atom. As for the calculated total energy: -37.49 eV for the cell shown.

The following is a GGA-PBE calculation of a relaxed CrNi5H4 crystal, from the Alexandria database.

Lattice parameters (Å, degrees): 11.3553 2.5909 5.2110 90.00 103.16 90.00
Closest atoms and distances in Å follow each position.
Space group C2/m (No. 12)
Unique sites:
Cr1 0.0000 0.0000 0.0000 x2  6 H 1.89-1.93
Ni1 0.0000 0.0000 0.5000 x2  4 H 1.79
Ni2 0.1647 0.5000 0.8299 x4  4 H 1.77-1.89
Ni3 0.1682 0.5000 0.3368 x4  3 H 1.81-1.85
H1 0.0011 0.5000 0.2643 x4  4 Ni 1.79-1.85, 2 Cr 1.89
H2 0.1749 0.0000 0.0982 x4  5 Ni 1.77-1.89, 1 Cr 1.93

Summary:
The density of states at the Fermi level comes out at 0.86 states/eV/atom. As for the calculated total energy: -103.97 eV for the cell shown.